Below is crystalline CoRe2NCl at its relaxed geometry, with properties calculated at the PBE level.

Cell lengths 4.7516, 4.7516, 3.3164 Å; angles 90.00, 90.00, 90.00 degrees
Space group P4/mmm (No. 123)
Inequivalent atoms, fractional coordinates:
Co 0.0000 0.0000 0.0000 x1
Re 0.0000 0.5000 0.0000 x2
N 0.0000 0.0000 0.5000 x1
Cl 0.5000 0.5000 0.5000 x1

Values from the calculation:
Magnetic moment: 2.42 μB per cell
Uncorrected formation energy: 1.867 eV/atom
Final energy: -32.8 eV per cell